[1]
This record from Alexandria via LeMat-Bulk describes crystalline Sr2GaBi4 at its relaxed geometry. The functional is PBE-GGA.

* energy: -3.598 eV per atom
* symmetry: I4/mmm (139)
* calculated formation energy: -0.47 eV per atom
* size of the total moment: 0.0000 μB/atom
* V: 238.35 Å³ per cell

Cell lengths 6.7985, 6.7985, 7.0527 Å; angles 118.84, 118.84, 90.00 degrees
Positions (direct):
Bi: 0.7859 0.7859 0.0716
Bi: 0.7856 0.2857 0.0714
Bi: 0.2856 0.2856 0.0712
Bi: 0.2857 0.7856 0.0714
Sr: 0.7855 0.2858 0.5714
Sr: 0.2858 0.7855 0.5714
Ga: 0.7859 0.7859 0.5717

[2]
This record from Alexandria via LeMat-Bulk describes crystalline Sr4GaBi4 at its relaxed geometry. The functional is PBE-GGA.

* energy: -3.527 eV per atom
* symmetry: P4_2/nmc (137)
* calculated formation energy: -0.72 eV per atom
* size of the total moment: 0.0000 μB/atom
* V: 675.61 Å³ per cell

Cell lengths 7.0574, 9.7842, 9.7842 Å; angles 90.00, 90.00, 90.00 degrees
Positions (direct):
Ga: 0.0000 0.0000 0.0000
Ga: 0.5000 0.5000 0.5000
Sr: 0.2961 0.2594 0.9998
Sr: 0.2039 0.2406 0.5002
Sr: 0.7961 0.5002 0.7594
Sr: 0.7039 0.0002 0.2594
Sr: 0.7961 0.4998 0.2406
Sr: 0.7039 0.9998 0.7406
Sr: 0.2961 0.7406 0.0002
Sr: 0.2039 0.7594 0.4998
Bi: 0.7163 0.7424 0.4998
Bi: 0.2163 0.0002 0.2424
Bi: 0.2837 0.5002 0.7424
Bi: 0.7837 0.7576 0.0002
Bi: 0.7163 0.2576 0.5002
Bi: 0.2837 0.4998 0.2576
Bi: 0.2163 0.9998 0.7576
Bi: 0.7837 0.2424 0.9998

> size of the total moment of number 1 (Sr2GaBi4)?

0.0000 μB/atom